Record 1
DFT (GGA-PBE) results for a geometry-optimized TaCrMo structure.

Output
E above lowest polymorph ... 0.0194 eV per atom
Formation energy from the elements ... -39 meV per atom
Magnetic moment ... 0.00 μB/f.u.
Uncorrected energy ... -10.809 eV per atom

```
data_TaCrMo
_chemical_formula_sum 'Ta4 Cr4 Mo4'
_cell_length_a 4.399
_cell_length_b 3.130
_cell_length_c 13.327
_cell_angle_alpha 90.00
_cell_angle_beta 90.00
_cell_angle_gamma 90.00
_space_group_name_H-M_alt 'A m m 2'
_space_group_IT_number 38
loop_
_space_group_symop_operation_xyz
'x,y,z'
'-x,-y,z'
'-x,y,z'
'x,-y,z'
'x,y+1/2,z+1/2'
'-x,-y+1/2,z+1/2'
'-x,y+1/2,z+1/2'
'x,-y+1/2,z+1/2'
loop_
_atom_site_label
_atom_site_type_symbol
_atom_site_fract_x
_atom_site_fract_y
_atom_site_fract_z
_atom_site_occupancy
Ta1 Ta 0.000 0.000 0.000 1
Ta2 Ta 0.500 0.000 0.168 1
Cr1 Cr 0.500 0.000 0.494 1
Cr2 Cr 0.500 0.000 0.842 1
Mo1 Mo 0.000 0.000 0.333 1
Mo2 Mo 0.000 0.000 0.671 1
```

Record 2
DFT (GGA-PBE) results for a geometry-optimized TaCrMo structure.

Output
E above lowest polymorph ... 0.0850 eV per atom
Formation energy from the elements ... 26 meV per atom
Magnetic moment ... 0.00 μB/f.u.
Uncorrected energy ... -10.743 eV per atom

```
data_TaCrMo
_chemical_formula_sum 'Ta1 Cr1 Mo1'
_cell_length_a 4.3649
_cell_length_b 4.3649
_cell_length_c 2.7810
_cell_angle_alpha 90.00
_cell_angle_beta 90.00
_cell_angle_gamma 120.00
_space_group_name_H-M_alt 'P 3 m 1'
_space_group_IT_number 156
loop_
_space_group_symop_operation_xyz
'x,y,z'
'-y,x-y,z'
'-x+y,-x,z'
'-y,-x,z'
'-x+y,y,z'
'x,x-y,z'
loop_
_atom_site_label
_atom_site_type_symbol
_atom_site_fract_x
_atom_site_fract_y
_atom_site_fract_z
_atom_site_occupancy
Ta1 Ta 0.0000 0.0000 0.0000 1
Cr1 Cr 0.6667 0.3333 0.3410 1
Mo1 Mo 0.3333 0.6667 0.6532 1
```

Record 3
DFT (GGA-PBE) results for a geometry-optimized TaCrMo2 structure.

Output
E above lowest polymorph ... 0.3838 eV per atom
Formation energy from the elements ... 330 meV per atom
Magnetic moment ... 0.00 μB/f.u.
Uncorrected energy ... -10.454 eV per atom

```
data_TaCrMo2
_chemical_formula_sum 'Ta3 Cr3 Mo6'
_cell_length_a 2.9755
_cell_length_b 2.9755
_cell_length_c 24.7835
_cell_angle_alpha 90.00
_cell_angle_beta 90.00
_cell_angle_gamma 120.00
_space_group_name_H-M_alt 'R 3 m'
_space_group_IT_number 160
_space_group_name_Hall 'R 3 -2"'
loop_
_atom_site_label
_atom_site_type_symbol
_atom_site_fract_x
_atom_site_fract_y
_atom_site_fract_z
_atom_site_occupancy
Ta1 Ta 0.0000 0.0000 0.0000 1
Cr1 Cr 0.0000 0.0000 0.2520 1
Mo1 Mo 0.0000 0.0000 0.5083 1
Mo2 Mo 0.0000 0.0000 0.7570 1
```